[1]
The following is a GGA-PBE calculation of a geometry-optimized LuScTcIr structure, from the Alexandria database.

As for the crystal system: cubic. The formation energy comes out at -1.989 eV per formula unit.

The structure belongs to space group F-43m (No. 216); the cell edges are 6.582, 6.582 and 6.582 Å and the angles 90.00°, 90.00° and 90.00°. The asymmetric unit holds Lu at (0.000, 0.000, 0.000), Sc at (0.000, 0.000, 0.500), Tc at (0.250, 0.250, 0.750) and Ir at (0.250, 0.250, 0.250).


[2]
The following is a GGA-PBE calculation of a geometry-optimized LuScTlIr structure, from the Alexandria database.

As for the crystal system: cubic. The formation energy comes out at -2.054 eV per formula unit.

The structure belongs to space group F-43m (No. 216); the cell edges are 6.941, 6.941 and 6.941 Å and the angles 90.00°, 90.00° and 90.00°. The asymmetric unit holds Lu at (0.000, 0.000, 0.000), Sc at (0.000, 0.000, 0.500), Tl at (0.250, 0.250, 0.750) and Ir at (0.250, 0.250, 0.250).


[3]
The following is a GGA-PBE calculation of a geometry-optimized Lu2IrSe structure, from the Alexandria database.

As for the crystal system: trigonal. The value obtained for the energy above the most stable polymorph in this dataset is 0 meV per atom. Its formation energy from raw total energies is -1.212 eV/atom.

The structure belongs to space group R-3m (No. 166, hexagonal axes); the cell edges are 3.9117, 3.9117 and 20.7574 Å and the angles 90.00°, 90.00° and 120.00°. The asymmetric unit holds Lu at (0.0000, 0.0000, 0.2418), Ir at (0.0000, 0.0000, 0.5000) and Se at (0.0000, 0.0000, 0.0000).


[4]
The following is a GGA-PBE calculation of a geometry-optimized Lu2IrSe structure, from the Alexandria database.

As for the crystal system: tetragonal. The value obtained for the energy above the most stable polymorph in this dataset is 67 meV per atom. Its formation energy from raw total energies is -1.145 eV/atom.

The structure belongs to space group P4/mmm (No. 123); the cell edges are 3.412, 3.412 and 7.145 Å and the angles 90.00°, 90.00° and 90.00°. The asymmetric unit holds Lu at (0.000, 0.000, 0.230), Ir at (0.500, 0.500, 0.000) and Se at (0.500, 0.500, 0.500).


[5]
The following is a GGA-PBE calculation of a geometry-optimized Lu2Si5Ir3 structure, from the Alexandria database.

As for the crystal system: orthorhombic. Its formation energy from raw total energies is -0.934 eV/atom.

The structure belongs to space group Ibam (No. 72); the cell edges are 10.011, 11.341 and 5.776 Å and the angles 90.00°, 90.00° and 90.00°. The asymmetric unit holds Lu at (0.228, 0.131, 0.000), Si at (0.000, 0.000, 0.250), Si at (0.000, 0.275, 0.250), Si at (0.156, 0.394, 0.000), Ir at (0.000, 0.500, 0.250) and Ir at (0.116, 0.140, 0.500).


[6]
The following is a GGA-PBE calculation of a geometry-optimized Lu5Si10Ir4 structure, from the Alexandria database.

As for the crystal system: tetragonal. Its formation energy from raw total energies is -0.880 eV/atom.

The structure belongs to space group P4/mbm (No. 127); the cell edges are 12.547, 12.547 and 4.199 Å and the angles 90.00°, 90.00° and 90.00°. The asymmetric unit holds Lu at (0.000, 0.000, 0.000), Lu at (0.115, 0.385, 0.500), Lu at (0.174, 0.674, 0.500), Si at (0.003, 0.846, 0.500), Si at (0.066, 0.566, 0.000), Si at (0.165, 0.201, 0.000) and Ir at (0.020, 0.755, 0.000).


[7]
The following is a GGA-PBE calculation of a geometry-optimized SmLuIr4 structure, from the Alexandria database.

As for the crystal system: cubic. The formation energy comes out at -4.675 eV per formula unit.

The structure belongs to space group F-43m (No. 216); the cell edges are 7.585, 7.585 and 7.585 Å and the angles 90.00°, 90.00° and 90.00°. The asymmetric unit holds Sm at (0.000, 0.000, 0.000), Lu at (0.250, 0.250, 0.250) and Ir at (0.125, 0.125, 0.625).


[8]
The following is a GGA-PBE calculation of a geometry-optimized LuSn2Ir structure, from the Alexandria database.

As for the crystal system: trigonal. The formation energy comes out at -1.580 eV per formula unit.

The structure belongs to space group R-3m (No. 166, hexagonal axes); the cell edges are 4.4774, 4.4774 and 15.1583 Å and the angles 90.00°, 90.00° and 120.00°. The asymmetric unit holds Lu at (0.0000, 0.0000, 0.0000), Sn at (0.0000, 0.0000, 0.2284) and Ir at (0.0000, 0.0000, 0.5000).


[9]
The following is a GGA-PBE calculation of a geometry-optimized Lu2SnIr structure, from the Alexandria database.

As for the crystal system: cubic. The formation energy comes out at -2.581 eV per formula unit. The value obtained for the energy above the most stable polymorph in this dataset is 152 meV per atom.

The structure belongs to space group Fm-3m (No. 225); the cell edges are 7.046, 7.046 and 7.046 Å and the angles 90.00°, 90.00° and 90.00°. The asymmetric unit holds Lu at (0.250, 0.250, 0.250), Sn at (0.000, 0.000, 0.000) and Ir at (0.000, 0.000, 0.500).


[10]
The following is a GGA-PBE calculation of a geometry-optimized Lu2SnIr structure, from the Alexandria database.

As for the crystal system: trigonal. The formation energy comes out at -2.400 eV per formula unit. The value obtained for the energy above the most stable polymorph in this dataset is 197 meV per atom.

The structure belongs to space group R-3m (No. 166, hexagonal axes); the cell edges are 3.7502, 3.7502 and 24.8494 Å and the angles 90.00°, 90.00° and 120.00°. The asymmetric unit holds Lu at (0.0000, 0.0000, 0.2326), Sn at (0.0000, 0.0000, 0.0000) and Ir at (0.0000, 0.0000, 0.5000).


[11]
The following is a GGA-PBE calculation of a geometry-optimized Lu2SnIr structure, from the Alexandria database.

As for the crystal system: tetragonal. The formation energy comes out at -3.188 eV per formula unit. The value obtained for the energy above the most stable polymorph in this dataset is 0 meV per atom.

The structure belongs to space group P4/mmm (No. 123); the cell edges are 3.404, 3.404 and 7.759 Å and the angles 90.00°, 90.00° and 90.00°. The asymmetric unit holds Lu at (0.000, 0.000, 0.209), Sn at (0.500, 0.500, 0.500) and Ir at (0.500, 0.500, 0.000).


[12]
The following is a GGA-PBE calculation of a geometry-optimized LuSnIr2 structure, from the Alexandria database.

As for the crystal system: tetragonal. The formation energy comes out at -2.521 eV per formula unit.

The structure belongs to space group P4/mmm (No. 123); the cell edges are 4.388, 4.388 and 3.732 Å and the angles 90.00°, 90.00° and 90.00°. The asymmetric unit holds Lu at (0.000, 0.000, 0.000), Sn at (0.500, 0.500, 0.000) and Ir at (0.000, 0.500, 0.500).


[13]
The following is a GGA-PBE calculation of a geometry-optimized LuSnIr2 structure, from the Alexandria database.

As for the crystal system: tetragonal. The formation energy comes out at -2.108 eV per formula unit.

The structure belongs to space group P4/mmm (No. 123); the cell edges are 3.427, 3.427 and 6.200 Å and the angles 90.00°, 90.00° and 90.00°. The asymmetric unit holds Lu at (0.000, 0.000, 0.000), Sn at (0.000, 0.000, 0.500) and Ir at (0.500, 0.500, 0.262).


[14]
The following is a GGA-PBE calculation of a geometry-optimized LuTaTcIr structure, from the Alexandria database.

As for the crystal system: cubic. The formation energy comes out at -2.185 eV per formula unit.

The structure belongs to space group F-43m (No. 216); the cell edges are 6.512, 6.512 and 6.512 Å and the angles 90.00°, 90.00° and 90.00°. The asymmetric unit holds Lu at (0.000, 0.000, 0.000), Ta at (0.000, 0.000, 0.500), Tc at (0.250, 0.250, 0.750) and Ir at (0.250, 0.250, 0.250).


[15]
The following is a GGA-PBE calculation of a geometry-optimized LuTiTcIr structure, from the Alexandria database.

As for the crystal system: cubic. The formation energy comes out at -2.340 eV per formula unit.

The structure belongs to space group F-43m (No. 216); the cell edges are 6.443, 6.443 and 6.443 Å and the angles 90.00°, 90.00° and 90.00°. The asymmetric unit holds Lu at (0.000, 0.000, 0.000), Ti at (0.000, 0.000, 0.500), Tc at (0.250, 0.250, 0.250) and Ir at (0.250, 0.250, 0.750).


[16]
The following is a GGA-PBE calculation of a geometry-optimized LuUTcIr structure, from the Alexandria database.

As for the crystal system: cubic. The formation energy comes out at -1.418 eV per formula unit.

The structure belongs to space group F-43m (No. 216); the cell edges are 6.766, 6.766 and 6.766 Å and the angles 90.00°, 90.00° and 90.00°. The asymmetric unit holds Lu at (0.000, 0.000, 0.000), U at (0.000, 0.000, 0.500), Tc at (0.250, 0.250, 0.750) and Ir at (0.250, 0.250, 0.250).


[17]
The following is a GGA-PBE calculation of a geometry-optimized LuZrTcIr structure, from the Alexandria database.

As for the crystal system: cubic. The formation energy comes out at -2.458 eV per formula unit.

The structure belongs to space group F-43m (No. 216); the cell edges are 6.634, 6.634 and 6.634 Å and the angles 90.00°, 90.00° and 90.00°. The asymmetric unit holds Lu at (0.000, 0.000, 0.000), Zr at (0.000, 0.000, 0.500), Tc at (0.250, 0.250, 0.750) and Ir at (0.250, 0.250, 0.250).


[18]
The following is a GGA-PBE calculation of a geometry-optimized LuThIr2 structure, from the Alexandria database.

As for the crystal system: trigonal. The formation energy comes out at -3.060 eV per formula unit.

The structure belongs to space group R-3m (No. 166, hexagonal axes); the cell edges are 4.0714, 4.0714 and 19.3016 Å and the angles 90.00°, 90.00° and 120.00°. The asymmetric unit holds Lu at (0.0000, 0.0000, 0.0000), Th at (0.0000, 0.0000, 0.5000) and Ir at (0.0000, 0.0000, 0.2538).


[19]
The following is a GGA-PBE calculation of a geometry-optimized Lu2ThIr structure, from the Alexandria database.

As for the crystal system: tetragonal. The formation energy comes out at -1.920 eV per formula unit.

The structure belongs to space group P4/mmm (No. 123); the cell edges are 3.427, 3.427 and 8.524 Å and the angles 90.00°, 90.00° and 90.00°. The asymmetric unit holds Lu at (0.000, 0.000, 0.188), Th at (0.500, 0.500, 0.500) and Ir at (0.500, 0.500, 0.000).


[20]
The following is a GGA-PBE calculation of a geometry-optimized LuThIr2 structure, from the Alexandria database.

As for the crystal system: tetragonal. The formation energy comes out at -3.372 eV per formula unit.

The structure belongs to space group P4/mmm (No. 123); the cell edges are 4.915, 4.915 and 3.497 Å and the angles 90.00°, 90.00° and 90.00°. The asymmetric unit holds Lu at (0.000, 0.000, 0.000), Th at (0.500, 0.500, 0.000) and Ir at (0.000, 0.500, 0.500).